Record 1
VASP calculation (PBE) on a geometry-optimized Sb2TeSI structure.

a b c (Å): 5.420 5.420 5.254
angles (deg): 90.00 90.00 90.00
Fractional positions:
Sb 0.500 0.000 0.000
Sb 0.000 0.500 0.000
I 0.500 0.500 0.500
S 0.000 0.000 0.000
Te 0.000 0.000 0.500

The value obtained for the spin magnetization is 0.00 μB/f.u. Its uncorrected formation energy is 0.517 eV per atom. The calculation puts the energy above the most stable polymorph in this dataset at 0 meV/atom. Its density of states at the Fermi level is 4.9 states/eV/cell.

Record 2
VASP calculation (PBE) on a geometry-optimized TaPdO3 structure.

a b c (Å): 3.958 3.958 3.958
angles (deg): 90.00 90.00 90.00
Last column: magnetic moment on the atom in μB.
Fractional positions:
O 0.000 0.500 0.000  0.09
O 0.500 0.000 0.000  0.04
O 0.000 0.000 0.500  0.06
Pd 0.500 0.500 0.500  0.80
Ta 0.000 0.000 0.000  -0.02

The value obtained for the spin magnetization is 1.00 μB/f.u. Its uncorrected formation energy is -1.647 eV per atom. Its density of states at the Fermi level is 8.6 states/eV/cell.

Record 3
VASP calculation (PBE) on a geometry-optimized YHoTe2 structure.

a b c (Å): 4.358 4.358 7.516
angles (deg): 73.15 73.15 60.00
Fractional positions:
Y 0.500 0.500 0.500
Te 0.749 0.749 0.753
Te 0.251 0.251 0.247
Ho 0.000 0.000 0.000

The value obtained for the spin magnetization is 0.00 μB/f.u. Its uncorrected formation energy is -1.278 eV per atom. The calculation puts the energy above the most stable polymorph in this dataset at 28 meV/atom. Its density of states at the Fermi level is 2.3 states/eV/cell.

Record 4
VASP calculation (PBE) on a geometry-optimized Pr4TeSe3 structure.

a b c (Å): 6.142 6.142 6.142
angles (deg): 90.00 90.00 90.00
Fractional positions:
Pr 0.000 0.000 0.500
Pr 0.000 0.500 0.000
Pr 0.500 0.000 0.000
Pr 0.500 0.500 0.500
Se 0.500 0.000 0.500
Se 0.500 0.500 0.000
Se 0.000 0.500 0.500
Te 0.000 0.000 0.000

The value obtained for the spin magnetization is 0.00 μB/f.u. Its uncorrected formation energy is -1.695 eV per atom. The calculation puts the energy above the most stable polymorph in this dataset at 61 meV/atom. Its density of states at the Fermi level is 5.6 states/eV/cell.

Record 5
VASP calculation (PBE) on a geometry-optimized Ti3NbF structure.

a b c (Å): 4.248 4.248 4.248
angles (deg): 90.00 90.00 90.00
Fractional positions:
Nb 0.500 0.500 0.500
Ti 0.500 0.000 0.000
Ti 0.000 0.000 0.500
Ti 0.000 0.500 0.000
F 0.000 0.000 0.000

The value obtained for the spin magnetization is 0.00 μB/f.u. Its uncorrected formation energy is -0.552 eV per atom. The calculation puts the energy above the most stable polymorph in this dataset at 0 meV/atom. Its density of states at the Fermi level is 13.0 states/eV/cell.

Record 6
VASP calculation (PBE) on a geometry-optimized NpTl2I3F3 structure.

a b c (Å): 3.718 9.270 9.270
angles (deg): 120.00 90.00 90.00
Last column: magnetic moment on the atom in μB.
Fractional positions:
I 0.000 0.362 0.000  -0.06
I 0.000 0.638 0.638  -0.06
I 0.000 0.000 0.362  -0.06
Tl 0.500 0.333 0.667  0.00
Tl 0.500 0.667 0.333  0.00
F 0.500 0.842 0.000  -0.02
F 0.500 0.158 0.158  -0.02
F 0.500 0.000 0.842  -0.02
Np 0.000 0.000 0.000  3.41

The value obtained for the spin magnetization is 3.16 μB/f.u. Its uncorrected formation energy is -1.700 eV per atom. Its density of states at the Fermi level is 8.7 states/eV/cell.

Record 7
VASP calculation (PBE) on a geometry-optimized SmPuCuSe4 structure.

a b c (Å): 7.111 5.796 8.260
angles (deg): 90.00 106.68 90.00
Last column: magnetic moment on the atom in μB.
Fractional positions:
Cu 0.260 0.750 0.316  -0.03
Cu 0.740 0.250 0.684  -0.03
Se 0.983 0.009 0.246  -0.02
Se 0.572 0.250 0.896  -0.03
Se 0.017 0.991 0.754  -0.02
Se 0.576 0.250 0.389  -0.08
Se 0.424 0.750 0.611  -0.08
Se 0.017 0.509 0.754  -0.02
Se 0.428 0.750 0.104  -0.03
Se 0.983 0.491 0.246  -0.02
Pu 0.267 0.250 0.563  5.21
Pu 0.733 0.750 0.437  5.21
Sm 0.735 0.750 0.932  0.02
Sm 0.265 0.250 0.068  0.02

The value obtained for the spin magnetization is 5.20 μB/f.u. Its uncorrected formation energy is -1.213 eV per atom. Its density of states at the Fermi level is 25.0 states/eV/cell.

Record 8
VASP calculation (PBE) on a geometry-optimized Li8InHg2 structure.

a b c (Å): 4.738 7.699 7.504
angles (deg): 59.14 78.23 66.57
Fractional positions:
Hg 0.000 0.315 0.370
Hg 0.000 0.685 0.630
Li 0.314 0.392 0.000
Li 0.686 0.608 0.000
Li 0.122 0.916 0.771
Li 0.500 0.781 0.438
Li 0.878 0.313 0.771
Li 0.122 0.687 0.229
Li 0.500 0.219 0.562
Li 0.878 0.084 0.229
In 0.500 0.000 0.000

Its formation energy is -0.21 eV/atom. The value obtained for the spin magnetization is 0.00 μB/f.u. The calculation puts the energy above the most stable polymorph in this dataset at 50 meV/atom. Its density of states at the Fermi level is 2.3 states/eV/cell.

Record 9
VASP calculation (PBE) on a geometry-optimized RbAuC2S2N2 structure.

a b c (Å): 8.102 8.102 18.878
angles (deg): 69.18 69.18 44.75
Fractional positions:
N 0.267 0.742 0.066
N 0.742 0.267 0.566
N 0.733 0.258 0.934
N 0.258 0.733 0.434
N 0.722 0.781 0.425
N 0.219 0.278 0.075
N 0.278 0.219 0.575
N 0.781 0.722 0.925
S 0.326 0.696 0.870
S 0.006 0.660 0.279
S 0.660 0.006 0.779
S 0.994 0.340 0.721
S 0.340 0.994 0.221
S 0.674 0.304 0.130
S 0.696 0.326 0.370
S 0.304 0.674 0.630
Au 0.652 0.348 0.250
Au 0.844 0.156 0.750
Au 0.348 0.652 0.750
Au 0.156 0.844 0.250
C 0.437 0.566 0.405
C 0.161 0.263 0.637
C 0.263 0.161 0.137
C 0.566 0.437 0.905
C 0.563 0.434 0.595
C 0.737 0.839 0.863
C 0.839 0.737 0.363
C 0.434 0.563 0.095
Rb 0.819 0.860 0.545
Rb 0.140 0.181 0.955
Rb 0.860 0.819 0.045
Rb 0.181 0.140 0.455

The value obtained for the spin magnetization is 0.00 μB/f.u. Its uncorrected formation energy is -0.099 eV per atom. Its density of states at the Fermi level is 0.0 states/eV/cell.

Record 10
VASP calculation (PBE) on a geometry-optimized LiB2C2 structure.

a b c (Å): 7.156 7.156 8.549
angles (deg): 121.67 121.67 21.79
Fractional positions:
Li 0.817 0.817 0.495
Li 0.512 0.512 0.504
Li 0.000 0.000 0.997
B 0.464 0.464 0.738
B 0.802 0.802 0.759
B 0.138 0.138 0.763
B 0.194 0.194 0.233
B 0.868 0.868 0.257
B 0.534 0.534 0.252
C 0.637 0.637 0.230
C 0.980 0.980 0.259
C 0.357 0.357 0.751
C 0.694 0.694 0.764
C 0.020 0.020 0.736
C 0.314 0.314 0.262

Its formation energy is -0.03 eV/atom. The value obtained for the spin magnetization is 0.00 μB/f.u. The calculation puts the energy above the most stable polymorph in this dataset at 43 meV/atom. Its density of states at the Fermi level is 3.4 states/eV/cell.

Record 11
VASP calculation (PBE) on a geometry-optimized CsBaSnO4 structure.

a b c (Å): 6.008 6.044 7.787
angles (deg): 90.00 112.69 90.00
Last column: magnetic moment on the atom in μB.
Fractional positions:
O 0.386 0.750 0.772  0.34
O 0.500 0.500 0.500  0.15
O 0.000 0.000 0.500  0.15
O 0.100 0.750 0.200  0.20
O 0.900 0.250 0.800  0.20
O 0.000 0.500 0.500  0.15
O 0.614 0.250 0.228  0.34
O 0.500 0.000 0.500  0.15
Ba 0.117 0.250 0.234  -0.01
Ba 0.883 0.750 0.766  -0.01
Sn 0.244 0.750 0.488  -0.03
Sn 0.756 0.250 0.512  -0.03
Cs 0.589 0.750 0.178  0.02
Cs 0.411 0.250 0.822  0.02

The value obtained for the spin magnetization is 1.01 μB/f.u. Its uncorrected formation energy is -1.694 eV per atom. Its density of states at the Fermi level is 7.5 states/eV/cell.

Record 12
VASP calculation (PBE) on a geometry-optimized Ho3InSn2 structure.

a b c (Å): 6.293 6.310 8.814
angles (deg): 101.14 110.92 90.00
Fractional positions:
In 0.879 0.750 0.000
In 0.121 0.250 0.000
Ho 0.373 0.750 0.000
Ho 0.714 0.905 0.659
Ho 0.055 0.595 0.341
Ho 0.286 0.095 0.341
Ho 0.945 0.405 0.659
Ho 0.627 0.250 0.000
Sn 0.551 0.564 0.324
Sn 0.449 0.436 0.676
Sn 0.227 0.936 0.676
Sn 0.773 0.064 0.324

Its formation energy is -0.55 eV/atom. The value obtained for the spin magnetization is 0.00 μB/f.u. Its density of states at the Fermi level is 9.9 states/eV/cell.

Record 13
VASP calculation (PBE) on a geometry-optimized BaSrAlO4 structure.

a b c (Å): 5.528 5.529 7.079
angles (deg): 90.00 112.98 90.00
Last column: magnetic moment on the atom in μB.
Fractional positions:
O 0.500 0.500 0.500  0.21
O 0.596 0.250 0.193  0.20
O 0.404 0.750 0.807  0.20
O 0.896 0.250 0.792  0.25
O 0.104 0.750 0.208  0.25
O 0.000 0.000 0.500  0.21
O 0.500 0.000 0.500  0.21
O 0.000 0.500 0.500  0.21
Al 0.748 0.250 0.496  -0.01
Al 0.252 0.750 0.504  -0.01
Sr 0.387 0.250 0.774  -0.01
Sr 0.613 0.750 0.226  -0.01
Ba 0.897 0.750 0.794  0.01
Ba 0.103 0.250 0.206  0.01

The value obtained for the spin magnetization is 1.03 μB/f.u. Its uncorrected formation energy is -2.581 eV per atom. Its density of states at the Fermi level is 6.8 states/eV/cell.

Record 14
VASP calculation (PBE) on a geometry-optimized Ag3SbCl9 structure.

a b c (Å): 8.034 10.452 13.077
angles (deg): 74.44 72.11 67.40
Last column: magnetic moment on the atom in μB.
Fractional positions:
Cl 0.636 0.567 0.955  0.00
Cl 0.397 0.192 0.595  0.08
Cl 0.146 0.562 0.544  0.15
Cl 0.842 0.067 0.455  0.00
Cl 0.996 0.027 0.772  0.15
Cl 0.307 0.943 0.515  0.00
Cl 0.753 0.822 0.373  0.01
Cl 0.205 0.527 0.272  0.15
Cl 0.570 0.474 0.675  0.01
Cl 0.006 0.678 0.829  0.08
Cl 0.748 0.062 0.044  0.15
Cl 0.816 0.692 0.095  0.08
Cl 0.235 0.443 0.015  0.00
Cl 0.856 0.342 0.154  0.01
Cl 0.052 0.322 0.873  0.01
Cl 0.648 0.842 0.654  0.01
Cl 0.281 0.974 0.175  0.01
Cl 0.487 0.178 0.329  0.08
Ag 0.010 0.032 0.110  0.03
Ag 0.781 0.252 0.733  0.03
Ag 0.885 0.875 0.935  0.30
Ag 0.234 0.752 0.233  0.03
Ag 0.305 0.375 0.435  0.30
Ag 0.849 0.532 0.610  0.03
Sb 0.582 0.992 0.488  0.00
Sb 0.937 0.492 0.988  0.00

The value obtained for the spin magnetization is 0.97 μB/f.u. Its uncorrected formation energy is -0.494 eV per atom. Its density of states at the Fermi level is 6.2 states/eV/cell.

Record 15
VASP calculation (PBE) on a geometry-optimized Pm2Sb3Rh5 structure.

a b c (Å): 4.407 7.086 13.053
angles (deg): 90.00 99.72 90.00
Fractional positions:
Rh 0.399 0.385 0.799
Rh 0.707 0.402 0.415
Rh 0.720 0.990 0.439
Rh 0.877 0.776 0.753
Rh 0.601 0.885 0.201
Rh 0.055 0.613 0.110
Rh 0.123 0.276 0.247
Rh 0.280 0.490 0.561
Rh 0.945 0.113 0.890
Rh 0.293 0.902 0.585
Sb 0.389 0.010 0.779
Sb 0.054 0.993 0.107
Sb 0.222 0.189 0.444
Sb 0.611 0.510 0.221
Sb 0.778 0.689 0.556
Sb 0.946 0.493 0.893
Pm 0.513 0.268 0.026
Pm 0.177 0.737 0.354
Pm 0.823 0.237 0.646
Pm 0.487 0.768 0.974

The value obtained for the spin magnetization is 0.00 μB/f.u. Its uncorrected formation energy is -0.667 eV per atom. Its density of states at the Fermi level is 14.0 states/eV/cell.

Record 16
VASP calculation (PBE) on a geometry-optimized CrRhAu2 structure.

a b c (Å): 2.953 3.621 6.028
angles (deg): 90.00 90.00 90.00
Last column: magnetic moment on the atom in μB.
Fractional positions:
Cr 0.000 0.000 0.528  2.77
Au 0.500 0.500 0.264  0.05
Au 0.000 0.000 0.989  0.01
Rh 0.500 0.500 0.720  -0.16

Its formation energy is 0.07 eV/atom. The value obtained for the spin magnetization is 2.87 μB/f.u. Its density of states at the Fermi level is 3.9 states/eV/cell.

Record 17
VASP calculation (PBE) on a geometry-optimized Rb2AlCuMo structure.

a b c (Å): 6.956 4.609 6.956
angles (deg): 90.00 90.00 90.00
Last column: magnetic moment on the atom in μB.
Fractional positions:
Al 0.000 0.000 0.000  -0.02
Cu 0.000 0.500 0.000  0.00
Rb 0.000 0.000 0.500  0.00
Rb 0.500 0.000 0.000  0.00
Mo 0.500 0.500 0.500  3.98

Its formation energy is 1.34 eV/atom. The value obtained for the spin magnetization is 4.96 μB/f.u. Its density of states at the Fermi level is 3.1 states/eV/cell.

Record 18
VASP calculation (PBE) on a geometry-optimized TmThSn2 structure.

a b c (Å): 5.396 5.396 5.396
angles (deg): 60.00 60.00 60.00
Fractional positions:
Th 0.000 0.000 0.000
Sn 0.750 0.750 0.750
Sn 0.250 0.250 0.250
Tm 0.500 0.500 0.500

Its formation energy is -0.44 eV/atom. The value obtained for the spin magnetization is 0.00 μB/f.u. The calculation puts the energy above the most stable polymorph in this dataset at 142 meV/atom. Its density of states at the Fermi level is 6.4 states/eV/cell.

Record 19
VASP calculation (PBE) on a geometry-optimized FeMoAs2 structure.

a b c (Å): 3.310 3.310 5.504
angles (deg): 90.00 90.00 90.00
Last column: magnetic moment on the atom in μB.
Fractional positions:
As 0.000 0.000 0.966  -0.03
As 0.500 0.500 0.305  -0.04
Mo 0.500 0.500 0.776  0.16
Fe 0.000 0.000 0.453  2.12

Its formation energy is -0.05 eV/atom. The value obtained for the spin magnetization is 2.19 μB/f.u. The calculation puts the energy above the most stable polymorph in this dataset at 131 meV/atom. Its density of states at the Fermi level is 1.9 states/eV/cell.

Record 20
VASP calculation (PBE) on a geometry-optimized LaY2Al9 structure.

a b c (Å): 5.631 5.631 9.381
angles (deg): 72.54 72.54 60.00
Fractional positions:
Al 0.500 0.500 0.500
Al 0.924 0.412 0.252
Al 0.412 0.412 0.252
Al 0.412 0.924 0.252
Al 0.588 0.588 0.748
Al 0.588 0.076 0.748
Al 0.664 0.664 0.007
Al 0.336 0.336 0.993
Al 0.076 0.588 0.748
La 0.000 0.000 0.000
Y 0.859 0.859 0.424
Y 0.141 0.141 0.576

Its formation energy is -0.41 eV/atom. The value obtained for the spin magnetization is 0.00 μB/f.u. Its density of states at the Fermi level is 4.9 states/eV/cell.